<A>
Computed, not measured: crystalline DyErCuRh at its relaxed geometry at the PBE level of DFT.

- Crystal system: cubic
- Density of states at the Fermi level: 3.7 states/eV/cell

a b c (Å): 4.860 4.860 4.860
angles (deg): 60.00 60.00 60.00
Element x y z (fractional)
1 Rh 0.750 0.750 0.750
2 Cu 0.250 0.250 0.250
3 Dy 0.000 0.000 0.000
4 Er 0.500 0.500 0.500

<B>
Computed, not measured: crystalline DyErCuRh at its relaxed geometry at the PBE level of DFT.

- Crystal system: orthorhombic
- Density of states at the Fermi level: 2.8 states/eV/cell

a b c (Å): 3.746 4.369 5.493
angles (deg): 90.00 109.94 90.00
Element x y z (fractional)
1 Dy 0.141 0.000 0.283
2 Cu 0.577 0.500 0.153
3 Er 0.863 0.500 0.726
4 Rh 0.419 0.000 0.838

List of relative energies, unit kJ/mol of atoms: <A> 1.6; <B> 0.0

<A>
Computed, not measured: crystalline DyErCuSi at its relaxed geometry at the PBE level of DFT.

- Crystal system: orthorhombic
- Density of states at the Fermi level: 3.0 states/eV/cell

a b c (Å): 4.037 4.063 5.690
angles (deg): 90.00 110.78 90.00
Element x y z (fractional)
1 Cu 0.567 0.500 0.135
2 Dy 0.142 0.000 0.285
3 Er 0.862 0.500 0.724
4 Si 0.428 0.000 0.856

<B>
Computed, not measured: crystalline DyErCuSi at its relaxed geometry at the PBE level of DFT.

- Crystal system: cubic
- Density of states at the Fermi level: 2.8 states/eV/cell

a b c (Å): 4.906 4.906 4.906
angles (deg): 60.00 60.00 60.00
Element x y z (fractional)
1 Dy 0.000 0.000 0.000
2 Cu 0.250 0.250 0.250
3 Er 0.500 0.500 0.500
4 Si 0.750 0.750 0.750

List of relative energies, unit kJ/mol of atoms: <A> 0.0; <B> 10.4

<A>
Computed, not measured: crystalline Eu2DyCu at its relaxed geometry at the PBE level of DFT.

- Crystal system: trigonal
- Density of states at the Fermi level: 4.1 states/eV/cell

a b c (Å): 3.641 3.641 11.345
angles (deg): 80.77 80.77 60.00
Site moments in Bohr magnetons follow the coordinates.
Element x y z (fractional)
1 Eu 0.897 0.897 0.310  7.00
2 Eu 0.103 0.103 0.690  7.00
3 Dy 0.000 0.000 0.000  0.25
4 Cu 0.500 0.500 0.500  0.00

<B>
Computed, not measured: crystalline Eu2DyCu at its relaxed geometry at the PBE level of DFT.

- Crystal system: tetragonal
- Density of states at the Fermi level: 4.4 states/eV/cell

a b c (Å): 3.657 3.657 8.997
angles (deg): 90.00 90.00 90.00
Site moments in Bohr magnetons follow the coordinates.
Element x y z (fractional)
1 Eu 0.000 0.000 0.197  6.89
2 Dy 0.500 0.500 0.500  0.40
3 Cu 0.500 0.500 0.000  0.01
4 Eu 0.000 0.000 0.803  6.89

List of relative energies, unit kJ/mol of atoms: <A> 23.6; <B> 0.0

<A>
Computed, not measured: crystalline EuDy2Cu at its relaxed geometry at the PBE level of DFT.

- Crystal system: trigonal
- Density of states at the Fermi level: 5.5 states/eV/cell

a b c (Å): 3.698 3.698 10.320
angles (deg): 79.68 79.68 60.00
Site moments in Bohr magnetons follow the coordinates.
Element x y z (fractional)
1 Eu 0.500 0.500 0.500  6.98
2 Dy 0.270 0.270 0.189  0.02
3 Cu 0.000 0.000 0.000  0.00
4 Dy 0.730 0.730 0.811  0.02

<B>
Computed, not measured: crystalline EuDy2Cu at its relaxed geometry at the PBE level of DFT.

- Crystal system: tetragonal
- Density of states at the Fermi level: 4.5 states/eV/cell

a b c (Å): 3.532 3.532 9.060
angles (deg): 90.00 90.00 90.00
Site moments in Bohr magnetons follow the coordinates.
Element x y z (fractional)
1 Cu 0.500 0.500 0.000  0.03
2 Dy 0.000 0.000 0.817  0.16
3 Dy 0.000 0.000 0.183  0.16
4 Eu 0.500 0.500 0.500  6.97

List of relative energies, unit kJ/mol of atoms: <A> 11.2; <B> 0.0

<A>
Computed, not measured: crystalline Dy2Ga3Cu at its relaxed geometry at the PBE level of DFT.

- Crystal system: trigonal
- Density of states at the Fermi level: 2.0 states/eV/cell

a b c (Å): 4.381 4.381 7.215
angles (deg): 90.00 90.00 120.00
Element x y z (fractional)
1 Ga 0.667 0.333 0.043
2 Ga 0.667 0.333 0.480
3 Cu 0.000 0.000 0.532
4 Dy 0.333 0.667 0.732
5 Ga 0.000 0.000 0.951
6 Dy 0.333 0.667 0.261

<B>
Computed, not measured: crystalline Dy2Ga3Cu at its relaxed geometry at the PBE level of DFT.

- Crystal system: orthorhombic
- Density of states at the Fermi level: 2.4 states/eV/cell

a b c (Å): 3.614 4.373 7.565
angles (deg): 90.00 90.00 90.00
Element x y z (fractional)
1 Ga 0.500 0.000 0.836
2 Cu 0.500 0.500 0.330
3 Dy 0.000 0.000 0.497
4 Dy 0.000 0.500 0.004
5 Ga 0.500 0.500 0.657
6 Ga 0.500 0.000 0.175

List of relative energies, unit kJ/mol of atoms: <A> 0.0; <B> 0.6

<A>
Computed, not measured: crystalline Dy2GaCu3 at its relaxed geometry at the PBE level of DFT.

- Crystal system: orthorhombic
- Density of states at the Fermi level: 3.8 states/eV/cell

a b c (Å): 3.778 4.051 8.105
angles (deg): 104.47 103.48 90.00
Element x y z (fractional)
1 Cu 0.703 0.703 0.405
2 Dy 0.868 0.368 0.736
3 Ga 0.460 0.960 0.920
4 Cu 0.297 0.797 0.595
5 Cu 0.543 0.543 0.087
6 Dy 0.129 0.129 0.257

<B>
Computed, not measured: crystalline Dy2GaCu3 at its relaxed geometry at the PBE level of DFT.

- Crystal system: orthorhombic
- Density of states at the Fermi level: 8.2 states/eV/cell

a b c (Å): 5.549 5.549 8.301
angles (deg): 105.51 105.51 101.52
Element x y z (fractional)
1 Ga 0.666 0.666 0.331
2 Cu 0.666 0.168 0.834
3 Cu 0.167 0.167 0.334
4 Ga 0.334 0.334 0.669
5 Cu 0.334 0.832 0.166
6 Cu 0.833 0.833 0.666
7 Cu 0.168 0.666 0.834
8 Cu 0.832 0.334 0.166
9 Dy 0.758 0.758 0.000
10 Dy 0.250 0.750 0.500
11 Dy 0.242 0.242 0.000
12 Dy 0.750 0.250 0.500

List of relative energies, unit kJ/mol of atoms: <A> 3.3; <B> 0.0

<A>
Computed, not measured: crystalline Dy3Ga4Cu2 at its relaxed geometry at the PBE level of DFT.

- Crystal system: monoclinic
- Density of states at the Fermi level: 4.3 states/eV/cell

a b c (Å): 4.383 5.656 8.350
angles (deg): 109.94 90.00 112.80
Element x y z (fractional)
1 Ga 0.268 0.536 0.925
2 Cu 0.402 0.804 0.731
3 Dy 0.328 0.656 0.346
4 Ga 0.732 0.464 0.075
5 Cu 0.598 0.196 0.269
6 Dy 0.672 0.344 0.654
7 Ga 0.036 0.071 0.366
8 Ga 0.964 0.929 0.634
9 Dy 0.000 0.000 0.000

<B>
Computed, not measured: crystalline Dy3Ga4Cu2 at its relaxed geometry at the PBE level of DFT.

- Crystal system: monoclinic
- Density of states at the Fermi level: 7.8 states/eV/cell

a b c (Å): 5.657 5.657 15.948
angles (deg): 75.41 75.41 45.65
Element x y z (fractional)
1 Dy 0.057 0.057 0.594
2 Dy 0.390 0.390 0.929
3 Ga 0.717 0.717 0.874
4 Ga 0.426 0.426 0.261
5 Ga 0.901 0.901 0.072
6 Ga 0.757 0.757 0.593
7 Cu 0.962 0.962 0.794
8 Cu 0.632 0.632 0.461
9 Dy 0.604 0.604 0.079
10 Ga 0.567 0.567 0.738
11 Cu 0.041 0.041 0.208
12 Ga 0.238 0.238 0.405
13 Dy 0.271 0.271 0.739
14 Dy 0.943 0.943 0.400
15 Ga 0.089 0.089 0.929
16 Dy 0.725 0.725 0.259
17 Ga 0.386 0.386 0.538
18 Cu 0.293 0.293 0.127

List of relative energies, unit kJ/mol of atoms: <A> 0.0; <B> 1.1

<A>
Computed, not measured: crystalline DyGa3Cu at its relaxed geometry at the PBE level of DFT.

- Crystal system: monoclinic
- Density of states at the Fermi level: 3.4 states/eV/cell

a b c (Å): 5.626 5.774 5.513
angles (deg): 90.00 88.17 90.00
Element x y z (fractional)
1 Dy 0.670 0.750 0.344
2 Cu 0.466 0.750 0.862
3 Cu 0.534 0.250 0.138
4 Ga 0.176 0.995 0.153
5 Ga 0.824 0.495 0.847
6 Dy 0.330 0.250 0.656
7 Ga 0.176 0.505 0.153
8 Ga 0.160 0.750 0.568
9 Ga 0.840 0.250 0.432
10 Ga 0.824 0.005 0.847

<B>
Computed, not measured: crystalline DyGa3Cu at its relaxed geometry at the PBE level of DFT.

- Crystal system: tetragonal
- Density of states at the Fermi level: 1.7 states/eV/cell

a b c (Å): 4.107 4.107 6.084
angles (deg): 70.25 70.24 89.96
Element x y z (fractional)
1 Ga 0.645 0.948 0.415
2 Dy 0.397 0.200 0.912
3 Ga 0.145 0.449 0.415
4 Ga 0.801 0.604 0.104
5 Cu 0.020 0.824 0.665

<C>
Computed, not measured: crystalline DyGa3Cu at its relaxed geometry at the PBE level of DFT.

- Crystal system: tetragonal
- Density of states at the Fermi level: 1.5 states/eV/cell

a b c (Å): 6.099 6.099 6.099
angles (deg): 140.86 140.86 56.55
Element x y z (fractional)
1 Ga 0.613 0.613 0.000
2 Dy 0.000 0.000 0.000
3 Ga 0.750 0.250 0.500
4 Cu 0.250 0.750 0.500
5 Ga 0.387 0.387 0.000

List of relative energies, unit kJ/mol of atoms: <A> 4.3; <B> 0.0; <C> 1.6